Compound: Li2Cd4AgRh
Source: Alexandria
Functional: PBE
Structure: relaxed

a b c (Å): 4.585 4.598 6.816
angles (deg): 90.00 90.48 90.00
Element x y z (fractional)
Li: 0.000 0.000 0.000
Li: 0.500 0.500 0.500
Cd: 0.001 0.500 0.263
Cd: 0.497 0.000 0.264
Cd: 0.503 0.000 0.736
Cd: 0.999 0.500 0.737
Ag: 0.500 0.500 0.000
Rh: 0.000 0.000 0.500

Calculated values
Space group: P2/m, No. 10
Energy (eV per atom): -2.45
Spin magnetization (μB/cell): 0.0